No. 1
Entry from Alexandria via LeMat-Bulk: a geometry-optimized La2TbSb3Rh4 structure (GGA-PBE).

symmetry = P-4m2 (115)
D(E_F) = 8.10 states/eV/cell
mass density = 8.9 g/cm3

Cell lengths 4.4663, 4.4663, 11.3393 Å; angles 90.00, 90.00, 90.00 degrees
Last column: nearest neighbours and their distance in Å.
Atoms (fractional coordinates):
La 0.0000 0.5000 0.2301  4 Sb 3.36, 8 Rh 3.43-3.46
La 0.5000 0.0000 0.7699  4 Sb 3.36, 8 Rh 3.43-3.46
Tb 0.0000 0.0000 0.5000  4 Rh 2.77
Sb 0.0000 0.5000 0.8723  5 Rh 2.58-2.66
Sb 0.5000 0.0000 0.1277  5 Rh 2.58-2.66
Sb 0.5000 0.5000 0.5000  4 Rh 2.77
Rh 0.0000 0.0000 0.0000  4 Sb 2.66
Rh 0.0000 0.5000 0.6445  3 Sb 2.58-2.77, 2 Tb 2.77
Rh 0.5000 0.0000 0.3555  3 Sb 2.58-2.77, 2 Tb 2.77
Rh 0.5000 0.5000 0.0000  4 Sb 2.66



No. 2
Entry from Alexandria via LeMat-Bulk: a geometry-optimized La2TbSb4Rh3 structure (GGA-PBE).

symmetry = P-4m2 (115)
D(E_F) = 4.35 states/eV/cell
mass density = 8.4 g/cm3

Cell lengths 4.5640, 4.5640, 11.6532 Å; angles 90.00, 90.00, 90.00 degrees
Last column: nearest neighbours and their distance in Å.
Atoms (fractional coordinates):
La 0.0000 0.5000 0.2258  8 Sb 3.48-3.49, 4 Rh 3.48
La 0.5000 0.0000 0.7742  8 Sb 3.48-3.49, 4 Rh 3.48
Tb 0.0000 0.0000 0.5000  4 Sb 2.95, 4 Rh 3.23
Sb 0.0000 0.0000 0.0000  4 Rh 2.64
Sb 0.0000 0.5000 0.6610  1 Rh 2.63
Sb 0.5000 0.0000 0.3390  1 Rh 2.63
Sb 0.5000 0.5000 0.0000  4 Rh 2.64
Rh 0.0000 0.5000 0.8867  5 Sb 2.63-2.64
Rh 0.5000 0.0000 0.1133  5 Sb 2.63-2.64
Rh 0.5000 0.5000 0.5000  4 Sb 2.95, 4 Tb 3.23



No. 3
Entry from Alexandria via LeMat-Bulk: a geometry-optimized LaSb2TeRh structure (GGA-PBE).

symmetry = P4/mmm (123)
D(E_F) = 4.44 states/eV/cell
E above lowest polymorph = 0.0 meV per atom
mass density = 7.1 g/cm3

Cell lengths 5.0764, 5.0764, 5.5783 Å; angles 90.00, 90.00, 90.00 degrees
Last column: nearest neighbours and their distance in Å.
Atoms (fractional coordinates):
La 0.0000 0.0000 0.0000  4 Te 3.59, 8 Sb 3.77
Sb 0.0000 0.5000 0.5000  2 Rh 2.54
Sb 0.5000 0.0000 0.5000  2 Rh 2.54
Te 0.5000 0.5000 0.0000  2 Rh 2.79
Rh 0.5000 0.5000 0.5000  4 Sb 2.54, 2 Te 2.79



No. 4
Entry from Alexandria via LeMat-Bulk: a geometry-optimized LaSb2TeRh structure (GGA-PBE).

symmetry = P4/mmm (123)
D(E_F) = 9.91 states/eV/cell
E above lowest polymorph = 1412.7 meV per atom
mass density = 4.7 g/cm3

Cell lengths 6.0247, 6.0247, 6.0056 Å; angles 90.00, 90.00, 90.00 degrees
Last column: nearest neighbours and their distance in Å.
Atoms (fractional coordinates):
La 0.0000 0.0000 0.0000  2 Te 3.00, 4 Sb 3.01
Sb 0.0000 0.5000 0.0000  2 La 3.01
Sb 0.5000 0.0000 0.0000  2 La 3.01
Te 0.0000 0.0000 0.5000  2 La 3.00
Rh 0.5000 0.5000 0.5000  8 Sb 4.25, 4 Te 4.26



No. 5
Entry from Alexandria via LeMat-Bulk: a geometry-optimized LaSbTe2Rh structure (GGA-PBE).

symmetry = P4/mmm (123)
D(E_F) = 10.90 states/eV/cell
E above lowest polymorph = 1313.5 meV per atom
mass density = 4.6 g/cm3

Cell lengths 6.0563, 6.0563, 6.0868 Å; angles 90.00, 90.00, 90.00 degrees
Last column: nearest neighbours and their distance in Å.
Atoms (fractional coordinates):
La 0.0000 0.0000 0.0000  4 Te 3.03, 2 Sb 3.04
Sb 0.0000 0.0000 0.5000  2 La 3.04
Te 0.0000 0.5000 0.0000  2 La 3.03
Te 0.5000 0.0000 0.0000  2 La 3.03
Rh 0.5000 0.5000 0.5000  4 Sb 4.28, 8 Te 4.29



No. 6
Entry from Alexandria via LeMat-Bulk: a geometry-optimized LaSbTe2Rh structure (GGA-PBE).

symmetry = P4/mmm (123)
D(E_F) = 3.15 states/eV/cell
E above lowest polymorph = 0.0 meV per atom
mass density = 7.1 g/cm3

Cell lengths 5.4118, 5.4118, 4.9577 Å; angles 90.00, 90.00, 90.00 degrees
Last column: nearest neighbours and their distance in Å.
Atoms (fractional coordinates):
La 0.0000 0.0000 0.0000  8 Te 3.67, 4 Sb 3.83
Sb 0.5000 0.5000 0.0000  2 Rh 2.48
Te 0.0000 0.5000 0.5000  2 Rh 2.71
Te 0.5000 0.0000 0.5000  2 Rh 2.71
Rh 0.5000 0.5000 0.5000  2 Sb 2.48, 4 Te 2.71



No. 7
Entry from Alexandria via LeMat-Bulk: a geometry-optimized La2Sb3TeRh4 structure (GGA-PBE).

symmetry = P-4m2 (115)
D(E_F) = 9.96 states/eV/cell
mass density = 8.8 g/cm3

Cell lengths 4.6372, 4.6372, 10.3585 Å; angles 90.00, 90.00, 90.00 degrees
Last column: nearest neighbours and their distance in Å.
Atoms (fractional coordinates):
La 0.0000 0.5000 0.2446  8 Rh 3.43-3.57, 6 Sb 3.49-3.52, 2 Te 3.52
La 0.5000 0.0000 0.7554  8 Rh 3.43-3.57, 6 Sb 3.49-3.52, 2 Te 3.52
Sb 0.0000 0.5000 0.8704  5 Rh 2.59-2.68
Sb 0.5000 0.0000 0.1296  5 Rh 2.59-2.68
Sb 0.5000 0.5000 0.5000  4 Rh 2.63
Te 0.0000 0.0000 0.5000  4 Rh 2.63
Rh 0.0000 0.0000 0.0000  4 Sb 2.68
Rh 0.0000 0.5000 0.6202  3 Sb 2.59-2.63, 2 Te 2.63
Rh 0.5000 0.0000 0.3798  3 Sb 2.59-2.63, 2 Te 2.63
Rh 0.5000 0.5000 0.0000  4 Sb 2.68



No. 8
Entry from Alexandria via LeMat-Bulk: a geometry-optimized LaThSb2Rh5 structure (GGA-PBE).

symmetry = P4/mmm (123)
D(E_F) = 7.52 states/eV/cell
mass density = 10.2 g/cm3

Cell lengths 4.5291, 4.5291, 8.9322 Å; angles 90.00, 90.00, 90.00 degrees
Last column: nearest neighbours and their distance in Å.
Atoms (fractional coordinates):
La 0.0000 0.0000 0.0000  12 Rh 3.00-3.20
Th 0.0000 0.0000 0.5000  8 Rh 3.38, 8 Sb 3.50
Sb 0.5000 0.5000 0.3420  4 Rh 2.51
Sb 0.5000 0.5000 0.6580  4 Rh 2.51
Rh 0.0000 0.5000 0.2197  2 Sb 2.51
Rh 0.0000 0.5000 0.7803  2 Sb 2.51
Rh 0.5000 0.0000 0.2197  2 Sb 2.51
Rh 0.5000 0.0000 0.7803  2 Sb 2.51
Rh 0.5000 0.5000 0.0000  8 Rh 3.00, 2 Sb 3.05, 4 La 3.20



Computed values of energy relative to the elements, uncorrected (unit: meV per atom) for the preceding records, in sequence: -906, -873, -385, 1028, 821, -493, -843, -552.